Material: Na2HfCoO4
Method: DFT, GGA+U
State: optimized geometry

Density   6.091 g cm⁻³
Electronic total energy   -6.90 eV per atom

Unit cell a=5.451 b=3.166 c=5.809 alpha=90.00 beta=109.13 gamma=90.00
Space group P2/m (No. 10)
Asymmetric unit:
Na 0.000 0.000 0.000 [1 per cell]
Na 0.500 0.500 0.000 [1 per cell]
Hf 0.000 0.500 0.500 [1 per cell]
Co 0.500 0.000 0.500 [1 per cell]
O 0.219 0.000 0.712 [2 per cell]
O 0.257 0.500 0.299 [2 per cell]